The following is a DFT calculation (PBEsol) of a geometry-optimized KTaHg2 structure.

```
data_KTaHg2
_cell_length_a 5.4645
_cell_length_b 5.4645
_cell_length_c 2.8875
_cell_angle_alpha 90.00
_cell_angle_beta 90.00
_cell_angle_gamma 90.10
_space_group_name_H-M_alt 'P 1'
_space_group_IT_number 1
loop_
_space_group_symop_operation_xyz
'x,y,z'
loop_
_atom_site_label
_atom_site_fract_x
_atom_site_fract_y
_atom_site_fract_z
K1 0.0000 0.0000 0.0000
Ta1 0.5000 0.5000 0.0000
Hg1 0.0000 0.5000 0.5000
Hg2 0.5000 0.0000 0.5000
```

Output
E_tot: -3.338 eV/atom
Excess energy over the best structure of this formula in the dataset: 0.041 eV/atom
Space group: No. 65


The following is a DFT calculation (PBEsol) of a geometry-optimized NbSiC3 structure.

```
data_NbSiC3
_cell_length_a 3.6796
_cell_length_b 3.6796
_cell_length_c 3.6796
_cell_angle_alpha 90.00
_cell_angle_beta 90.00
_cell_angle_gamma 90.00
_space_group_name_H-M_alt 'P 1'
_space_group_IT_number 1
loop_
_space_group_symop_operation_xyz
'x,y,z'
loop_
_atom_site_label
_atom_site_fract_x
_atom_site_fract_y
_atom_site_fract_z
Nb1 0.0000 0.0000 0.0000
Si1 0.5000 0.5000 0.5000
C1 0.0000 0.5000 0.5000
C2 0.5000 0.0000 0.5000
C3 0.5000 0.5000 0.0000
```

Output
E_tot: -7.598 eV/atom
Space group: No. 221
Raw formation energy: 1502 meV per atom


The following is a DFT calculation (PBEsol) of a geometry-optimized Ba2YTe structure.

```
data_Ba2YTe
_cell_length_a 5.2215
_cell_length_b 7.1047
_cell_length_c 7.1047
_cell_angle_alpha 36.46
_cell_angle_beta 90.00
_cell_angle_gamma 90.00
_space_group_name_H-M_alt 'P 1'
_space_group_IT_number 1
loop_
_space_group_symop_operation_xyz
'x,y,z'
loop_
_atom_site_label
_atom_site_fract_x
_atom_site_fract_y
_atom_site_fract_z
Ba1 0.0000 0.0000 0.0000
Ba2 0.5000 0.3033 0.3033
Y1 0.5000 0.5945 0.5945
Te1 0.0000 0.7157 0.7157
```

Output
E_tot: -4.255 eV/atom
Space group: No. 38
Raw formation energy: -593 meV per atom


The following is a DFT calculation (PBEsol) of a geometry-optimized PbO3F structure.

```
data_PbO3F
_cell_length_a 4.2457
_cell_length_b 4.2457
_cell_length_c 4.2457
_cell_angle_alpha 90.00
_cell_angle_beta 90.00
_cell_angle_gamma 90.00
_space_group_name_H-M_alt 'P 1'
_space_group_IT_number 1
loop_
_space_group_symop_operation_xyz
'x,y,z'
loop_
_atom_site_label
_atom_site_fract_x
_atom_site_fract_y
_atom_site_fract_z
Pb1 0.0000 0.0000 0.0000
O1 0.0000 0.0000 0.5000
O2 0.0000 0.5000 0.0000
O3 0.5000 0.0000 0.0000
F1 0.5000 0.5000 0.5000
```

Output
E_tot: -3.972 eV/atom
Space group: No. 221
Raw formation energy: 363 meV per atom


The following is a DFT calculation (PBEsol) of a geometry-optimized BN structure.

```
data_BN
_cell_length_a 2.5059
_cell_length_b 2.5059
_cell_length_c 6.9199
_cell_angle_alpha 90.00
_cell_angle_beta 90.00
_cell_angle_gamma 120.00
_space_group_name_H-M_alt 'P 1'
_space_group_IT_number 1
loop_
_space_group_symop_operation_xyz
'x,y,z'
loop_
_atom_site_label
_atom_site_fract_x
_atom_site_fract_y
_atom_site_fract_z
B1 0.3333 0.6667 0.2500
B2 0.6667 0.3333 0.7500
N1 0.3333 0.6667 0.7500
N2 0.6667 0.3333 0.2500
```

Output
E_tot: -9.140 eV/atom
Excess energy over the best structure of this formula in the dataset: 0.033 eV/atom
Space group: No. 194
Raw formation energy: -1369 meV per atom


The following is a DFT calculation (PBEsol) of a geometry-optimized InAsBr structure.

```
data_InAsBr
_cell_length_a 4.9034
_cell_length_b 4.9034
_cell_length_c 4.9034
_cell_angle_alpha 60.00
_cell_angle_beta 60.00
_cell_angle_gamma 60.00
_space_group_name_H-M_alt 'P 1'
_space_group_IT_number 1
loop_
_space_group_symop_operation_xyz
'x,y,z'
loop_
_atom_site_label
_atom_site_fract_x
_atom_site_fract_y
_atom_site_fract_z
In1 0.0000 0.0000 0.0000
As1 0.5000 0.5000 0.5000
Br1 0.2500 0.2500 0.2500
```

Output
E_tot: -2.694 eV/atom
Space group: No. 216
Raw formation energy: 625 meV per atom


The following is a DFT calculation (PBEsol) of a geometry-optimized NaNi2S2 structure.

```
data_NaNi2S2
_cell_length_a 5.1508
_cell_length_b 5.1508
_cell_length_c 5.1508
_cell_angle_alpha 130.89
_cell_angle_beta 130.89
_cell_angle_gamma 72.00
_space_group_name_H-M_alt 'P 1'
_space_group_IT_number 1
loop_
_space_group_symop_operation_xyz
'x,y,z'
loop_
_atom_site_label
_atom_site_fract_x
_atom_site_fract_y
_atom_site_fract_z
Na1 0.0000 0.0000 0.0000
Ni1 0.3321 0.3321 0.0000
Ni2 0.6679 0.6679 0.0000
S1 0.2500 0.7500 0.5000
S2 0.7500 0.2500 0.5000
```

Output
E_tot: -4.908 eV/atom
Space group: No. 139
Raw formation energy: -411 meV per atom


The following is a DFT calculation (PBEsol) of a geometry-optimized CuNiRh2 structure.

```
data_CuNiRh2
_cell_length_a 3.6975
_cell_length_b 3.6975
_cell_length_c 3.5919
_cell_angle_alpha 90.00
_cell_angle_beta 90.00
_cell_angle_gamma 90.00
_space_group_name_H-M_alt 'P 1'
_space_group_IT_number 1
loop_
_space_group_symop_operation_xyz
'x,y,z'
loop_
_atom_site_label
_atom_site_fract_x
_atom_site_fract_y
_atom_site_fract_z
Cu1 0.0000 0.0000 0.0000
Ni1 0.5000 0.5000 0.0000
Rh1 0.0000 0.5000 0.5000
Rh2 0.5000 0.0000 0.5000
```

Output
E_tot: -6.582 eV/atom
Space group: No. 123


The following is a DFT calculation (PBEsol) of a geometry-optimized DySi2Ni structure.

```
data_DySi2Ni
_cell_length_a 8.3353
_cell_length_b 8.3353
_cell_length_c 3.9373
_cell_angle_alpha 90.00
_cell_angle_beta 90.00
_cell_angle_gamma 152.58
_space_group_name_H-M_alt 'P 1'
_space_group_IT_number 1
loop_
_space_group_symop_operation_xyz
'x,y,z'
loop_
_atom_site_label
_atom_site_fract_x
_atom_site_fract_y
_atom_site_fract_z
Dy1 0.1056 0.8944 0.7500
Dy2 0.8944 0.1056 0.2500
Si1 0.2499 0.7501 0.2500
Si2 0.4597 0.5403 0.7500
Si3 0.5403 0.4597 0.2500
Si4 0.7501 0.2499 0.7500
Ni1 0.3220 0.6780 0.7500
Ni2 0.6780 0.3220 0.2500
```

Output
E_tot: -6.580 eV/atom
Space group: No. 63
Raw formation energy: -923 meV per atom


The following is a DFT calculation (PBEsol) of a geometry-optimized Sc2PtW structure.

```
data_Sc2PtW
_cell_length_a 4.5717
_cell_length_b 4.5717
_cell_length_c 4.5717
_cell_angle_alpha 60.00
_cell_angle_beta 60.00
_cell_angle_gamma 60.00
_space_group_name_H-M_alt 'P 1'
_space_group_IT_number 1
loop_
_space_group_symop_operation_xyz
'x,y,z'
loop_
_atom_site_label
_atom_site_fract_x
_atom_site_fract_y
_atom_site_fract_z
Sc1 0.0000 0.0000 0.0000
Sc2 0.2500 0.2500 0.2500
Pt1 0.5000 0.5000 0.5000
W1 0.7500 0.7500 0.7500
```

Output
E_tot: -8.575 eV/atom
Excess energy over the best structure of this formula in the dataset: 0.278 eV/atom
Space group: No. 216


The following is a DFT calculation (PBEsol) of a geometry-optimized In2TcTe structure.

```
data_In2TcTe
_cell_length_a 5.0971
_cell_length_b 5.0971
_cell_length_c 3.3588
_cell_angle_alpha 90.00
_cell_angle_beta 90.00
_cell_angle_gamma 110.50
_space_group_name_H-M_alt 'P 1'
_space_group_IT_number 1
loop_
_space_group_symop_operation_xyz
'x,y,z'
loop_
_atom_site_label
_atom_site_fract_x
_atom_site_fract_y
_atom_site_fract_z
In1 0.0000 0.5000 0.0000
In2 0.5000 0.0000 0.0000
Tc1 0.0000 0.0000 0.5000
Te1 0.5000 0.5000 0.5000
```

Output
E_tot: -4.700 eV/atom
Space group: No. 65
Raw formation energy: 490 meV per atom


The following is a DFT calculation (PBEsol) of a geometry-optimized Si3Cl8 structure.

```
data_Si3Cl8
_cell_length_a 12.4278
_cell_length_b 12.4278
_cell_length_c 12.4278
_cell_angle_alpha 60.00
_cell_angle_beta 60.00
_cell_angle_gamma 60.00
_space_group_name_H-M_alt 'P 1'
_space_group_IT_number 1
loop_
_space_group_symop_operation_xyz
'x,y,z'
loop_
_atom_site_label
_atom_site_fract_x
_atom_site_fract_y
_atom_site_fract_z
Si1 0.0000 0.0000 0.0000
Si2 0.2307 0.9231 0.9231
Si3 0.2500 0.2500 0.2500
Si4 0.4231 0.4231 0.4231
Si5 0.4231 0.4231 0.7307
Si6 0.4231 0.7307 0.4231
Si7 0.5000 0.5000 0.5000
Si8 0.7307 0.4231 0.4231
Si9 0.7500 0.7500 0.7500
Si10 0.9231 0.2307 0.9231
Si11 0.9231 0.9231 0.2307
Si12 0.9231 0.9231 0.9231
Cl1 0.0364 0.2996 0.9312
Cl2 0.0364 0.7328 0.2996
Cl3 0.0364 0.9312 0.7328
Cl4 0.1835 0.1835 0.1835
Cl5 0.1835 0.1835 0.4495
Cl6 0.1835 0.4495 0.1835
Cl7 0.2328 0.4312 0.5364
Cl8 0.2328 0.5364 0.7996
Cl9 0.2328 0.7996 0.4312
Cl10 0.2996 0.0364 0.7328
Cl11 0.2996 0.7328 0.9312
Cl12 0.2996 0.9312 0.0364
Cl13 0.4312 0.2328 0.7996
Cl14 0.4312 0.5364 0.2328
Cl15 0.4312 0.7996 0.5364
Cl16 0.4495 0.1835 0.1835
Cl17 0.5364 0.2328 0.4312
Cl18 0.5364 0.4312 0.7996
Cl19 0.5364 0.7996 0.2328
Cl20 0.6835 0.6835 0.6835
Cl21 0.6835 0.6835 0.9495
Cl22 0.6835 0.9495 0.6835
Cl23 0.7328 0.0364 0.9312
Cl24 0.7328 0.2996 0.0364
Cl25 0.7328 0.9312 0.2996
Cl26 0.7996 0.2328 0.5364
Cl27 0.7996 0.4312 0.2328
Cl28 0.7996 0.5364 0.4312
Cl29 0.9312 0.0364 0.2996
Cl30 0.9312 0.2996 0.7328
Cl31 0.9312 0.7328 0.0364
Cl32 0.9495 0.6835 0.6835
```

Output
E_tot: -4.124 eV/atom
Space group: No. 219
Raw formation energy: -1096 meV per atom